No. 1
VASP calculation (PBE) on a geometry-optimized Ti3HgP structure.

a = 4.559 Å, b = 4.559 Å, c = 4.559 Å
α = 90.00°, β = 90.00°, γ = 90.00°
Sites, in units of the cell vectors:
Ti 0.000 0.000 0.500
Ti 0.000 0.500 0.000
Ti 0.500 0.000 0.000
Hg 0.500 0.500 0.500
P 0.000 0.000 0.000

Properties
- magnetic moment (μB per cell) = 0.00
- energy above the lowest structure with this stoichiometry (meV per atom) = 0
- ΔE_f (eV/atom) = -0.29
- final energy (Ry/atom) = -0.454
- symmetry = No. 221

***

No. 2
VASP calculation (PBE) on a geometry-optimized Na2MgPbF structure.

a = 4.605 Å, b = 4.605 Å, c = 5.004 Å
α = 90.00°, β = 90.00°, γ = 90.00°
Sites, in units of the cell vectors:
Na 0.000 0.500 0.000
Na 0.500 0.000 0.000
Mg 0.000 0.000 0.500
Pb 0.500 0.500 0.500
F 0.000 0.000 0.000

Properties
- magnetic moment (μB per cell) = 0.00
- energy relative to the elements, uncorrected (kJ/mol of formula units) = -500
- final energy (Ry/atom) = -0.220
- symmetry = No. 123